Material: Tc3NiSn
Method: DFT, PBE-GGA
State: relaxed

Summary:
**DFT total energy**: -28.41 eV/f.u.
**ΔH_f (0 K)**: 2495 meV per atom

```
Tc3NiSn
1.0
4.801 0.000 0.000
0.000 4.801 0.000
0.000 0.000 4.801
Tc Sn Ni
3 1 1
direct
0.000 0.000 0.500
0.500 0.000 0.000
0.000 0.500 0.000
0.000 0.000 0.000
0.500 0.500 0.500
```